# RbUAuS4 | the Alexandria database | PBE | optimized geometry
data_RbUAuS4
_cell_length_a 6.5731
_cell_length_b 6.7672
_cell_length_c 8.4990
_cell_angle_alpha 90.00
_cell_angle_beta 93.36
_cell_angle_gamma 90.00
_space_group_name_H-M_alt 'P 1 21/m 1'
_space_group_IT_number 11
loop_
_space_group_symop_operation_xyz
'x,y,z'
'-x,-y,-z'
'-x,y+1/2,-z'
'x,-y+1/2,z'
loop_
_atom_site_label
_atom_site_fract_x
_atom_site_fract_y
_atom_site_fract_z
Rb1 0.2245 0.2500 0.0411
U1 0.1842 0.7500 0.4565
Au1 0.3214 0.2500 0.6188
S1 0.0693 0.5100 0.6903
S2 0.3588 0.7500 0.1995
S3 0.4871 0.2500 0.3756
# Calculated volume (A^3/atom): 26.96
# Formation energy without anion corrections (eV per atom): -0.880
# Crystal system: monoclinic
# Calculated density (Mg/m³): 5.7